The following is a PBE-GGA calculation of a geometry-optimized BaYRe2 structure, from Alexandria.

Output
ΔE to the lowest computed polymorph = 380 kJ/mol of formula units
energy relative to the elements = 1255.2 meV/atom
size of the total moment = 0.000 μB/atom
symmetry = R-3m
volume = 89.0 Å³/f.u.

extended XYZ file:
```
4
Lattice="1.574 0.909 10.372 -1.574 0.909 10.372 0.000 -1.817 10.372" Properties=species:S:1:pos:R:3 pbc="T T T"
Ba 0.000 0.000 0.000
Y 0.000 0.000 15.558
Re 0.000 0.000 7.515
Re 0.000 0.000 23.601
```



The following is a PBE-GGA calculation of a geometry-optimized TmMo4W structure, from Alexandria.

Output
energy relative to the elements = 182.5 meV/atom
size of the total moment = 0.000 μB/atom
symmetry = F-43m
volume = 107.1 Å³/f.u.

extended XYZ file:
```
6
Lattice="0.000 3.770 3.770 3.770 0.000 3.770 3.770 3.770 0.000" Properties=species:S:1:pos:R:3 pbc="T T T"
Tm 0.000 0.000 0.000
Mo 2.830 2.830 2.830
Mo 4.710 4.710 2.830
Mo 4.710 2.830 4.710
Mo 2.830 4.710 4.710
W 5.654 5.654 5.654
```